<i>
## SnB2O (GGA-PBE)

Data for crystalline SnB2O at its relaxed geometry.

Values from the calculation:
As for the calculated volume: 48.2 Å³/f.u. The space-group type is Fm-3m.

POSCAR file:
```
SnB2O
1.0
0.0000 2.8882 2.8882
2.8882 0.0000 2.8882
2.8882 2.8882 0.0000
Sn B O
1 2 1
Direct
0.0000 0.0000 0.0000 Sn
0.2500 0.2500 0.2500 B
0.7500 0.7500 0.7500 B
0.5000 0.5000 0.5000 O
```


<ii>
## SnB2O (GGA-PBE)

Data for crystalline SnB2O at its relaxed geometry.

Values from the calculation:
As for the calculated volume: 47.8 Å³/f.u. The space-group type is I-42d.

POSCAR file:
```
SnB2O
1.0
-2.2741 2.2741 4.6219
2.2741 -2.2741 4.6219
2.2741 2.2741 -4.6219
Sn B O
2 4 2
Direct
0.0000 0.0000 0.0000 Sn
0.7500 0.2500 0.5000 Sn
0.2211 0.6250 0.0961 B
0.3750 0.4711 0.5961 B
0.5289 0.1250 0.9039 B
0.8750 0.7789 0.4039 B
0.2500 0.7500 0.5000 O
0.5000 0.5000 0.0000 O
```


It turns out <ii> is the most stable, with the second structure 1.157 eV/atom higher.


<i>
## SrB3O (GGA-PBE)

Data for crystalline SrB3O at its relaxed geometry.

Values from the calculation:
As for the calculated volume: 135.7 Å³/f.u. The space-group type is Pm-3m.

POSCAR file:
```
SrB3O
1.0
5.1387 0.0000 0.0000
0.0000 5.1387 0.0000
0.0000 0.0000 5.1387
Sr B O
1 3 1
Direct
0.0000 0.0000 0.0000 Sr
0.0000 0.0000 0.5000 B
0.0000 0.5000 0.0000 B
0.5000 0.0000 0.0000 B
0.5000 0.5000 0.5000 O
```


<ii>
## SrB3O (GGA-PBE)

Data for crystalline SrB3O at its relaxed geometry.

Values from the calculation:
As for the calculated volume: 70.1 Å³/f.u. The space-group type is Pm-3m.

POSCAR file:
```
SrB3O
1.0
4.1239 0.0000 0.0000
0.0000 4.1239 0.0000
0.0000 0.0000 4.1239
Sr B O
1 3 1
Direct
0.0000 0.0000 0.0000 Sr
0.0000 0.5000 0.5000 B
0.5000 0.0000 0.5000 B
0.5000 0.5000 0.0000 B
0.5000 0.5000 0.5000 O
```


It turns out <ii> is the most stable, with the second structure 1.627 eV/atom higher.


<i>
## Sr2BO4 (GGA-PBE)

Data for crystalline Sr2BO4 at its relaxed geometry.

Values from the calculation:
As for the calculated volume: 107.7 Å³/f.u. The space-group type is P-1.

POSCAR file:
```
Sr2BO4
1.0
6.8443 0.0000 0.0000
-1.5321 8.4496 0.0000
-0.1485 -4.2821 7.4471
Sr B O
8 4 16
Direct
0.1996 0.0733 0.3639 Sr
0.2267 0.4138 0.8926 Sr
0.2635 0.6101 0.4761 Sr
0.2677 0.0096 0.8901 Sr
0.7323 0.9904 0.1099 Sr
0.7365 0.3899 0.5239 Sr
0.7733 0.5862 0.1074 Sr
0.8004 0.9267 0.6361 Sr
0.0080 0.3125 0.1500 B
0.4848 0.6521 0.8003 B
0.5152 0.3479 0.1997 B
0.9920 0.6875 0.8500 B
0.0065 0.2860 0.2997 O
0.0495 0.8346 0.0233 O
0.0704 0.4887 0.1789 O
0.1603 0.0838 0.6593 O
0.2753 0.9386 0.5540 O
0.4038 0.4783 0.6560 O
0.4754 0.1948 0.2238 O
0.4804 0.3239 0.0292 O
0.5196 0.6761 0.9708 O
0.5246 0.8052 0.7762 O
0.5962 0.5217 0.3440 O
0.7247 0.0614 0.4460 O
0.8397 0.9162 0.3407 O
0.9296 0.5113 0.8211 O
0.9505 0.1654 0.9767 O
0.9935 0.7140 0.7003 O
```


<ii>
## Sr2BO4 (GGA-PBE)

Data for crystalline Sr2BO4 at its relaxed geometry.

Values from the calculation:
As for the calculated volume: 100.0 Å³/f.u. The space-group type is P2_1/m.

POSCAR file:
```
Sr2BO4
1.0
5.3290 0.0000 0.0000
0.0000 5.4504 0.0000
-1.8203 0.0000 6.8841
Sr B O
4 2 8
Direct
0.2089 0.2500 0.0350 Sr
0.2757 0.2500 0.5510 Sr
0.7243 0.7500 0.4490 Sr
0.7911 0.7500 0.9650 Sr
0.2209 0.7500 0.7768 B
0.7791 0.2500 0.2232 B
0.0540 0.5288 0.7368 O
0.0540 0.9712 0.7368 O
0.3308 0.7500 0.9946 O
0.4201 0.7500 0.6647 O
0.5799 0.2500 0.3353 O
0.6692 0.2500 0.0054 O
0.9460 0.0288 0.2632 O
0.9460 0.4712 0.2632 O
```


It turns out <i> is the most stable, with the second structure 0.137 eV/atom higher.


<i>
## Ta2BO (GGA-PBE)

Data for crystalline Ta2BO at its relaxed geometry.

Values from the calculation:
As for the calculated volume: 46.0 Å³/f.u. The space-group type is Fm-3m.

POSCAR file:
```
Ta2BO
1.0
0.0000 2.8448 2.8448
2.8448 0.0000 2.8448
2.8448 2.8448 0.0000
Ta B O
2 1 1
Direct
0.2500 0.2500 0.2500 Ta
0.7500 0.7500 0.7500 Ta
0.0000 0.0000 0.0000 B
0.5000 0.5000 0.5000 O
```


<ii>
## Ta2BO (GGA-PBE)

Data for crystalline Ta2BO at its relaxed geometry.

Values from the calculation:
As for the calculated volume: 57.5 Å³/f.u. The space-group type is I-42d.

POSCAR file:
```
Ta2BO
1.0
-2.4037 2.4037 4.9758
2.4037 -2.4037 4.9758
2.4037 2.4037 -4.9758
Ta B O
4 2 2
Direct
0.1198 0.6250 0.9948 Ta
0.3750 0.3698 0.4948 Ta
0.6302 0.1250 0.0052 Ta
0.8750 0.8802 0.5052 Ta
0.2500 0.7500 0.5000 B
0.5000 0.5000 0.0000 B
0.0000 0.0000 0.0000 O
0.7500 0.2500 0.5000 O
```


It turns out <ii> is the most stable, with the second structure 0.063 eV/atom higher.


<i>
## TbB2O4 (GGA-PBE)

Data for crystalline TbB2O4 at its relaxed geometry.

Values from the calculation:
As for the calculated volume: 69.6 Å³/f.u. The space-group type is R-3m.

POSCAR file:
```
TbB2O4
1.0
1.3868 0.8007 10.4486
-1.3868 0.8007 10.4486
0.0000 -1.6014 10.4486
Tb B O
1 2 4
Direct
0.0000 0.0000 0.0000 Tb
0.2368 0.2368 0.2368 B
0.7632 0.7632 0.7632 B
0.1130 0.1130 0.1130 O
0.2807 0.2807 0.2807 O
0.7193 0.7193 0.7193 O
0.8870 0.8870 0.8870 O
```


<ii>
## TbB2O4 (GGA-PBE)

Data for crystalline TbB2O4 at its relaxed geometry.

Values from the calculation:
As for the calculated volume: 92.4 Å³/f.u. The space-group type is I4/m.

POSCAR file:
```
TbB2O4
1.0
-3.3759 3.3759 2.0266
3.3759 -3.3759 2.0266
3.3759 3.3759 -2.0266
Tb B O
1 2 4
Direct
0.0000 0.0000 0.0000 Tb
0.2500 0.7500 0.5000 B
0.7500 0.2500 0.5000 B
0.0032 0.6612 0.6644 O
0.3388 0.0032 0.3420 O
0.6612 0.9968 0.6580 O
0.9968 0.3388 0.3356 O
```


It turns out <ii> is the most stable, with the second structure 0.591 eV/atom higher.


<i>
## BTe2O (GGA-PBE)

Data for crystalline BTe2O at its relaxed geometry.

Values from the calculation:
As for the calculated volume: 61.6 Å³/f.u. The space-group type is Fm-3m.

POSCAR file:
```
BTe2O
1.0
0.0000 3.1354 3.1354
3.1354 0.0000 3.1354
3.1354 3.1354 0.0000
B Te O
1 2 1
Direct
0.0000 0.0000 0.0000 B
0.2500 0.2500 0.2500 Te
0.7500 0.7500 0.7500 Te
0.5000 0.5000 0.5000 O
```


<ii>
## BTe2O (GGA-PBE)

Data for crystalline BTe2O at its relaxed geometry.

Values from the calculation:
As for the calculated volume: 81.0 Å³/f.u. The space-group type is I-42d.

POSCAR file:
```
BTe2O
1.0
-2.9567 2.9567 4.6327
2.9567 -2.9567 4.6327
2.9567 2.9567 -4.6327
B Te O
2 4 2
Direct
0.0000 0.0000 0.0000 B
0.7500 0.2500 0.5000 B
0.1020 0.6250 0.9770 Te
0.3750 0.3520 0.4770 Te
0.6480 0.1250 0.0230 Te
0.8750 0.8980 0.5230 Te
0.2500 0.7500 0.5000 O
0.5000 0.5000 0.0000 O
```


<iii>
## BTe2O (GGA-PBE)

Data for crystalline BTe2O at its relaxed geometry.

Values from the calculation:
As for the calculated volume: 77.8 Å³/f.u. The space-group type is R-3m.

POSCAR file:
```
BTe2O
1.0
1.7843 1.0302 7.0539
-1.7843 1.0302 7.0539
0.0000 -2.0603 7.0539
B Te O
1 2 1
Direct
0.0000 0.0000 0.0000 B
0.4029 0.4029 0.4029 Te
0.5971 0.5971 0.5971 Te
0.5000 0.5000 0.5000 O
```


<iv>
## BTe2O (GGA-PBE)

Data for crystalline BTe2O at its relaxed geometry.

Values from the calculation:
As for the calculated volume: 83.0 Å³/f.u. The space-group type is R-3m.

POSCAR file:
```
BTe2O
1.0
1.7727 1.0234 7.6243
-1.7727 1.0234 7.6243
0.0000 -2.0469 7.6243
B Te O
1 2 1
Direct
0.0000 0.0000 0.0000 B
0.0917 0.0917 0.0917 Te
0.9083 0.9083 0.9083 Te
0.5000 0.5000 0.5000 O
```


It turns out <ii> is the most stable, with the second structure 0.018 eV/atom higher.


<i>
## ZrBTe2O (GGA-PBE)

Data for crystalline ZrBTe2O at its relaxed geometry.

Values from the calculation:
As for the calculated volume: 132.4 Å³/f.u. The space-group type is P4/mmm.

POSCAR file:
```
ZrBTe2O
1.0
5.7858 0.0000 0.0000
0.0000 5.7858 0.0000
0.0000 0.0000 3.9565
Zr B Te O
1 1 2 1
Direct
0.0000 0.0000 0.0000 Zr
0.5000 0.5000 0.5000 B
0.0000 0.5000 0.0000 Te
0.5000 0.0000 0.0000 Te
0.0000 0.0000 0.5000 O
```


<ii>
## ZrBTe2O (GGA-PBE)

Data for crystalline ZrBTe2O at its relaxed geometry.

Values from the calculation:
As for the calculated volume: 91.8 Å³/f.u. The space-group type is P4/mmm.

POSCAR file:
```
ZrBTe2O
1.0
5.5020 0.0000 0.0000
0.0000 5.5020 0.0000
0.0000 0.0000 3.0337
Zr B Te O
1 1 2 1
Direct
0.0000 0.0000 0.0000 Zr
0.5000 0.5000 0.5000 B
0.0000 0.5000 0.5000 Te
0.5000 0.0000 0.5000 Te
0.5000 0.5000 0.0000 O
```


It turns out <ii> is the most stable, with the second structure 0.162 eV/atom higher.


<i>
## TlB2O2 (GGA-PBE)

Data for crystalline TlB2O2 at its relaxed geometry.

Values from the calculation:
As for the calculated volume: 64.9 Å³/f.u. The space-group type is P4/mbm.

POSCAR file:
```
TlB2O2
1.0
7.1697 0.0000 0.0000
0.0000 7.1697 0.0000
0.0000 0.0000 2.5261
Tl B O
2 4 4
Direct
0.0000 0.0000 0.0000 Tl
0.5000 0.5000 0.0000 Tl
0.0864 0.4136 0.0000 B
0.4136 0.9136 0.0000 B
0.5864 0.0864 0.0000 B
0.9136 0.5864 0.0000 B
0.1059 0.6059 0.5000 O
0.3941 0.1059 0.5000 O
0.6059 0.8941 0.5000 O
0.8941 0.3941 0.5000 O
```


<ii>
## TlB2O2 (GGA-PBE)

Data for crystalline TlB2O2 at its relaxed geometry.

Values from the calculation:
As for the calculated volume: 50.6 Å³/f.u. The space-group type is I4/mmm.

POSCAR file:
```
TlB2O2
1.0
-1.8520 1.8520 3.6895
1.8520 -1.8520 3.6895
1.8520 1.8520 -3.6895
Tl B O
1 2 2
Direct
0.0000 0.0000 0.0000 Tl
0.3713 0.3713 0.0000 B
0.6287 0.6287 0.0000 B
0.2500 0.7500 0.5000 O
0.7500 0.2500 0.5000 O
```


It turns out <ii> is the most stable, with the second structure 0.188 eV/atom higher.


<i>
## TlB3O (GGA-PBE)

Data for crystalline TlB3O at its relaxed geometry.

Values from the calculation:
As for the calculated volume: 91.5 Å³/f.u. The space-group type is Pm-3m.

POSCAR file:
```
TlB3O
1.0
4.5061 0.0000 0.0000
0.0000 4.5061 0.0000
0.0000 0.0000 4.5061
Tl B O
1 3 1
Direct
0.0000 0.0000 0.0000 Tl
0.0000 0.0000 0.5000 B
0.0000 0.5000 0.0000 B
0.5000 0.0000 0.0000 B
0.5000 0.5000 0.5000 O
```


<ii>
## TlB3O (GGA-PBE)

Data for crystalline TlB3O at its relaxed geometry.

Values from the calculation:
As for the calculated volume: 57.5 Å³/f.u. The space-group type is Pm-3m.

POSCAR file:
```
TlB3O
1.0
3.8595 0.0000 0.0000
0.0000 3.8595 0.0000
0.0000 0.0000 3.8595
Tl B O
1 3 1
Direct
0.0000 0.0000 0.0000 Tl
0.0000 0.5000 0.5000 B
0.5000 0.0000 0.5000 B
0.5000 0.5000 0.0000 B
0.5000 0.5000 0.5000 O
```


It turns out <ii> is the most stable, with the second structure 0.966 eV/atom higher.


<i>
## TlB3O5 (GGA-PBE)

Data for crystalline TlB3O5 at its relaxed geometry.

Values from the calculation:
As for the calculated volume: 103.0 Å³/f.u. The space-group type is C2/c.

POSCAR file:
```
TlB3O5
1.0
5.1082 -4.4658 0.0000
5.1082 4.4658 0.0000
-1.9193 0.0000 9.0311
Tl B O
4 12 20
Direct
0.0641 0.7642 0.5574 Tl
0.2358 0.9359 0.9426 Tl
0.7642 0.0641 0.0574 Tl
0.9359 0.2358 0.4426 Tl
0.0732 0.5641 0.1791 B
0.2921 0.3166 0.7701 B
0.3166 0.2921 0.2701 B
0.3907 0.4659 0.0687 B
0.4359 0.9268 0.3209 B
0.4659 0.3907 0.5687 B
0.5341 0.6093 0.4313 B
0.5641 0.0732 0.6791 B
0.6093 0.5341 0.9313 B
0.6834 0.7079 0.7299 B
0.7079 0.6834 0.2299 B
0.9268 0.4359 0.8209 B
0.0961 0.3021 0.8101 O
0.1086 0.3961 0.2505 O
0.2147 0.6040 0.0976 O
0.2880 0.4119 0.6382 O
0.3021 0.0961 0.3101 O
0.3961 0.1086 0.7505 O
0.3960 0.7853 0.4024 O
0.4119 0.2880 0.1382 O
0.4129 0.4307 0.9045 O
0.4307 0.4129 0.4045 O
0.5693 0.5871 0.5955 O
0.5871 0.5693 0.0955 O
0.5881 0.7120 0.8618 O
0.6040 0.2147 0.5976 O
0.6039 0.8914 0.2495 O
0.6979 0.9039 0.6899 O
0.7120 0.5881 0.3618 O
0.7853 0.3960 0.9024 O
0.8914 0.6039 0.7495 O
0.9039 0.6979 0.1899 O
```


<ii>
## TlB3O5 (GGA-PBE)

Data for crystalline TlB3O5 at its relaxed geometry.

Values from the calculation:
As for the calculated volume: 119.9 Å³/f.u. The space-group type is P2_12_12_1.

POSCAR file:
```
TlB3O5
1.0
5.4622 0.0000 0.0000
0.0000 8.4123 0.0000
0.0000 0.0000 10.4416
Tl B O
4 12 20
Direct
0.0411 0.2443 0.3610 Tl
0.4589 0.7557 0.8610 Tl
0.5411 0.2557 0.6390 Tl
0.9589 0.7443 0.1390 Tl
0.0353 0.9302 0.6956 B
0.0834 0.1470 0.8579 B
0.2121 0.6208 0.4582 B
0.2879 0.3792 0.9582 B
0.4166 0.8530 0.3579 B
0.4647 0.0698 0.1956 B
0.5353 0.5698 0.3044 B
0.5834 0.3530 0.1421 B
0.7121 0.8792 0.5418 B
0.7879 0.1208 0.0418 B
0.9166 0.6470 0.6421 B
0.9647 0.4302 0.8044 B
0.0682 0.7700 0.7097 O
0.0721 0.5560 0.5523 O
0.1438 0.4885 0.8877 O
0.1828 0.0325 0.7637 O
0.2100 0.7776 0.4244 O
0.2900 0.2224 0.9244 O
0.3172 0.9675 0.2637 O
0.3562 0.5115 0.3877 O
0.4279 0.4440 0.0523 O
0.4318 0.2300 0.2097 O
0.5682 0.7300 0.2903 O
0.5721 0.9440 0.4477 O
0.6438 0.0115 0.1123 O
0.6828 0.4675 0.2363 O
0.7100 0.7224 0.5756 O
0.7900 0.2776 0.0756 O
0.8172 0.5325 0.7363 O
0.8562 0.9885 0.6123 O
0.9279 0.0560 0.9477 O
0.9318 0.2700 0.7903 O
```


It turns out <ii> is the most stable, with the second structure 0.015 eV/atom higher.